Below is a geometry-optimized DyZnNiHg structure, with properties calculated at the PBE level. Values from VASP.

```
&SYSTEM
  ibrav = 0, nat = 4, ntyp = 4
/
ATOMIC_SPECIES
Ni 58.69 Ni.upf
Zn 65.41 Zn.upf
Hg 200.59 Hg.upf
Dy 162.50 Dy.upf
ATOMIC_POSITIONS crystal
Ni 0.250 0.250 0.250
Zn 0.750 0.750 0.750
Hg 0.000 0.000 0.000
Dy 0.500 0.500 0.500
CELL_PARAMETERS angstrom
4.706 0.000 0.000
2.353 4.075 0.000
2.353 1.358 3.842
```

Computed properties:
* Fermi-level density of states: 0.928 states/eV/atom
* DFT total energy: -12.8 eV/cell
* ΔH_f (0 K): -0.218 eV per atom
* total magnetic moment: 0.0 μB per formula unit
* crystal system: cubic
* space group: F-43m

=====

Below is a geometry-optimized DyNpHg2 structure, with properties calculated at the PBE level. Values from VASP.

```
&SYSTEM
  ibrav = 0, nat = 4, ntyp = 3
/
ATOMIC_SPECIES
Np 237.00 Np.upf
Hg 200.59 Hg.upf
Dy 162.50 Dy.upf
ATOMIC_POSITIONS crystal
Np 0.500 0.500 0.500
Hg 0.000 0.000 0.500
Hg 0.000 0.500 0.000
Dy 0.500 0.000 0.000
CELL_PARAMETERS angstrom
3.437 0.000 0.000
0.000 5.481 0.000
0.000 0.000 5.481
```

Computed properties:
* Fermi-level density of states: 2.151 states/eV/atom
* DFT total energy: -18.3 eV/cell
* ΔH_f (0 K): -0.050 eV per atom
* total magnetic moment: 4.9 μB per formula unit
* crystal system: tetragonal
* space group: P4/mmm

=====

Below is a geometry-optimized Dy2NpHgO8 structure, with properties calculated at the PBE level. Values from VASP.

```
&SYSTEM
  ibrav = 0, nat = 12, ntyp = 4
/
ATOMIC_SPECIES
Dy 162.50 Dy.upf
Np 237.00 Np.upf
Hg 200.59 Hg.upf
O 16.00 O.upf
ATOMIC_POSITIONS crystal
Dy 0.523 0.477 0.742
Dy 0.477 0.523 0.258
Np 0.000 0.000 0.000
Hg 0.000 0.000 0.500
O 0.172 0.828 0.232
O 0.708 0.709 0.000
O 0.794 0.207 0.180
O 0.828 0.172 0.768
O 0.292 0.291 0.000
O 0.206 0.793 0.820
O 0.693 0.693 0.500
O 0.307 0.307 0.500
CELL_PARAMETERS angstrom
-0.016 4.718 -1.776
-3.468 -1.592 -3.319
-4.920 2.252 4.759
```

Computed properties:
* Fermi-level density of states: 0.257 states/eV/atom
* DFT total energy: -91.2 eV/cell
* total magnetic moment: 0.0 μB per formula unit
* formation energy (no corrections): -2.422 eV per atom
* crystal system: triclinic
* space group: P-1

=====

Below is a geometry-optimized DyNpHgO6 structure, with properties calculated at the PBE level. Values from VASP.

```
&SYSTEM
  ibrav = 0, nat = 18, ntyp = 4
/
ATOMIC_SPECIES
Dy 162.50 Dy.upf
Np 237.00 Np.upf
Hg 200.59 Hg.upf
O 16.00 O.upf
ATOMIC_POSITIONS crystal
Dy 0.500 0.500 0.168
Dy 0.000 0.000 0.668
Np 0.500 0.500 0.832
Np 0.000 0.000 0.332
Hg 0.500 0.500 0.498
Hg 0.000 0.000 0.998
O 0.179 0.821 0.485
O 0.821 0.179 0.485
O 0.321 0.321 0.985
O 0.679 0.679 0.985
O 0.194 0.806 0.190
O 0.806 0.194 0.190
O 0.306 0.306 0.690
O 0.694 0.694 0.690
O 0.777 0.223 0.825
O 0.223 0.777 0.825
O 0.723 0.723 0.325
O 0.277 0.277 0.325
CELL_PARAMETERS angstrom
-3.341 -3.429 -1.889
-0.837 -1.801 4.748
-7.693 6.817 1.229
```

Computed properties:
* DFT total energy: -136.5 eV/cell
* total magnetic moment: 0.0 μB per formula unit
* formation energy (no corrections): -2.292 eV per atom
* crystal system: tetragonal
* space group: P4_2nm

=====

Below is a geometry-optimized DyNpSnHg structure, with properties calculated at the PBE level. Values from VASP.

```
&SYSTEM
  ibrav = 0, nat = 4, ntyp = 4
/
ATOMIC_SPECIES
Np 237.00 Np.upf
Hg 200.59 Hg.upf
Sn 118.71 Sn.upf
Dy 162.50 Dy.upf
ATOMIC_POSITIONS crystal
Np 0.750 0.750 0.750
Hg 0.500 0.500 0.500
Sn 0.000 0.000 0.000
Dy 0.250 0.250 0.250
CELL_PARAMETERS angstrom
-1.669 4.704 1.797
0.049 1.020 5.206
3.486 3.468 1.991
```

Computed properties:
* Fermi-level density of states: 1.703 states/eV/atom
* DFT total energy: -22.5 eV/cell
* ΔH_f (0 K): -0.161 eV per atom
* total magnetic moment: 5.2 μB per formula unit
* crystal system: cubic
* space group: F-43m

=====

Below is a geometry-optimized Dy12Hg3O5 structure, with properties calculated at the PBE level. Values from VASP.

```
&SYSTEM
  ibrav = 0, nat = 80, ntyp = 3
/
ATOMIC_SPECIES
Hg 200.59 Hg.upf
O 16.00 O.upf
Dy 162.50 Dy.upf
ATOMIC_POSITIONS crystal
Hg 0.750 0.375 0.125
Hg 0.875 0.750 0.125
Hg 0.375 0.750 0.625
Hg 0.250 0.125 0.375
Hg 0.875 0.125 0.250
Hg 0.375 0.625 0.250
Hg 0.625 0.375 0.750
Hg 0.125 0.875 0.750
Hg 0.750 0.875 0.625
Hg 0.625 0.250 0.375
Hg 0.125 0.250 0.875
Hg 0.250 0.625 0.875
O 0.125 0.375 0.250
O 0.000 0.500 0.000
O 0.000 0.000 0.000
O 0.375 0.250 0.125
O 0.500 0.000 0.500
O 0.500 0.500 0.000
O 0.125 0.750 0.375
O 0.750 0.125 0.875
O 0.750 0.625 0.375
O 0.375 0.125 0.750
O 0.625 0.875 0.250
O 0.500 0.500 0.500
O 0.500 0.000 0.000
O 0.000 0.000 0.500
O 0.250 0.375 0.625
O 0.250 0.875 0.125
O 0.000 0.500 0.500
O 0.875 0.250 0.625
O 0.625 0.750 0.875
O 0.875 0.625 0.750
Dy 0.698 0.108 0.010
Dy 0.312 0.510 0.402
Dy 0.990 0.392 0.302
Dy 0.510 0.198 0.108
Dy 0.591 0.698 0.688
Dy 0.990 0.598 0.188
Dy 0.312 0.802 0.409
Dy 0.098 0.909 0.108
Dy 0.598 0.990 0.688
Dy 0.698 0.591 0.188
Dy 0.802 0.490 0.392
Dy 0.812 0.902 0.010
Dy 0.108 0.698 0.510
Dy 0.392 0.402 0.091
Dy 0.091 0.902 0.392
Dy 0.409 0.108 0.598
Dy 0.091 0.188 0.198
Dy 0.490 0.688 0.098
Dy 0.812 0.909 0.302
Dy 0.108 0.409 0.098
Dy 0.392 0.990 0.802
Dy 0.598 0.608 0.409
Dy 0.902 0.812 0.510
Dy 0.802 0.312 0.909
Dy 0.402 0.392 0.591
Dy 0.098 0.188 0.490
Dy 0.198 0.688 0.091
Dy 0.188 0.091 0.698
Dy 0.608 0.010 0.198
Dy 0.892 0.591 0.902
Dy 0.510 0.312 0.902
Dy 0.591 0.892 0.402
Dy 0.909 0.812 0.802
Dy 0.909 0.098 0.608
Dy 0.892 0.302 0.490
Dy 0.188 0.098 0.990
Dy 0.608 0.598 0.909
Dy 0.402 0.010 0.312
Dy 0.302 0.409 0.812
Dy 0.198 0.510 0.608
Dy 0.902 0.091 0.892
Dy 0.688 0.198 0.591
Dy 0.490 0.802 0.892
Dy 0.010 0.402 0.812
Dy 0.409 0.302 0.312
Dy 0.010 0.608 0.698
Dy 0.688 0.490 0.598
Dy 0.302 0.892 0.990
CELL_PARAMETERS angstrom
13.433 0.000 0.000
-4.478 12.665 0.000
-4.478 -6.333 10.968
```

Computed properties:
* Fermi-level density of states: 0.870 states/eV/atom
* DFT total energy: -447.2 eV/cell
* total magnetic moment: 1.7 μB per formula unit
* formation energy (no corrections): -1.544 eV per atom
* crystal system: cubic
* space group: Ia-3d

=====

Below is a geometry-optimized Dy3HgO structure, with properties calculated at the PBE level. Values from VASP.

```
&SYSTEM
  ibrav = 0, nat = 5, ntyp = 3
/
ATOMIC_SPECIES
Hg 200.59 Hg.upf
O 16.00 O.upf
Dy 162.50 Dy.upf
ATOMIC_POSITIONS crystal
Hg 0.500 0.500 0.500
O 0.000 0.000 0.000
Dy 0.000 0.500 0.000
Dy 0.000 0.000 0.500
Dy 0.500 0.000 0.000
CELL_PARAMETERS angstrom
4.761 0.000 0.000
0.000 4.761 0.000
0.000 0.000 4.761
```

Computed properties:
* Fermi-level density of states: 0.467 states/eV/atom
* DFT total energy: -26.0 eV/cell
* total magnetic moment: 0.0 μB per formula unit
* formation energy (no corrections): -1.392 eV per atom
* crystal system: cubic
* space group: Pm-3m

=====

Below is a geometry-optimized Dy4Hg2O structure, with properties calculated at the PBE level. Values from VASP.

```
&SYSTEM
  ibrav = 0, nat = 7, ntyp = 3
/
ATOMIC_SPECIES
Hg 200.59 Hg.upf
O 16.00 O.upf
Dy 162.50 Dy.upf
ATOMIC_POSITIONS crystal
Hg 0.631 0.631 0.739
Hg 0.369 0.369 0.261
O 0.000 0.000 0.000
Dy 0.823 0.823 0.354
Dy 0.177 0.177 0.646
Dy 0.000 0.500 0.000
Dy 0.500 0.000 0.000
CELL_PARAMETERS angstrom
4.731 0.000 0.000
0.000 4.731 0.000
2.365 2.365 7.569
```

Computed properties:
* Fermi-level density of states: 0.182 states/eV/atom
* DFT total energy: -31.6 eV/cell
* total magnetic moment: 0.0 μB per formula unit
* formation energy (no corrections): -1.096 eV per atom
* crystal system: tetragonal
* space group: I4/mmm